Tm4MgNi: optimized geometry, PBE.

Calculated values
Crystal system: monoclinic
Calculated volume in Å³/cell: 167.1
Formation energy in meV per atom: -13
D(E_F) in states/eV per cell: 5.8

Geometry as POSCAR:
```
Tm4MgNi
1.0
5.465 -1.847 0.000
5.465 1.847 0.000
-3.150 0.000 8.280
Tm Mg Ni
4 1 1
Cartesian
0.015 0.000 3.260
3.093 0.000 1.507
4.686 0.000 6.773
7.764 0.000 5.020
0.000 0.000 0.000
3.890 0.000 4.140
```

Tm4Mg3Ni: optimized geometry, PBE.

Calculated values
Crystal system: tetragonal
Calculated volume in Å³/cell: 196.2
Formation energy in meV per atom: -156
D(E_F) in states/eV per cell: 7.6

Geometry as POSCAR:
```
Tm4Mg3Ni
1.0
3.423 0.000 0.000
0.000 3.423 0.000
0.000 0.000 16.741
Tm Mg Ni
4 3 1
Cartesian
0.000 0.000 1.577
0.000 0.000 6.111
0.000 0.000 10.630
0.000 0.000 15.164
1.712 1.712 3.885
1.712 1.712 8.370
1.712 1.712 12.856
1.712 1.712 0.000
```

Tm8Mg2Ni: optimized geometry, PBE.

Calculated values
Crystal system: monoclinic
Calculated volume in Å³/cell: 296.7
Formation energy in meV per atom: -30
D(E_F) in states/eV per cell: 11.0

Geometry as POSCAR:
```
Tm8Mg2Ni
1.0
8.606 -2.703 0.000
8.606 2.703 0.000
-2.457 0.000 6.378
Tm Mg Ni
8 2 1
Cartesian
-0.423 0.000 1.762
1.503 0.000 4.819
4.756 0.000 3.632
6.691 0.000 0.573
8.063 0.000 5.805
9.999 0.000 2.747
13.252 0.000 1.559
15.177 0.000 4.616
2.676 0.000 1.276
12.078 0.000 5.102
7.377 0.000 3.189
```

TmMgZnNi: optimized geometry, PBE.

Calculated values
Crystal system: cubic
Calculated volume in Å³/cell: 71.8
Formation energy in meV per atom: -272
D(E_F) in states/eV per cell: 4.1

Geometry as POSCAR:
```
TmMgZnNi
1.0
0.000 3.298 3.298
3.298 0.000 3.298
3.298 3.298 0.000
Tm Mg Zn Ni
1 1 1 1
Cartesian
0.000 0.000 0.000
3.298 3.298 3.298
1.649 1.649 1.649
4.947 4.947 4.947
```

Tm2MgZn2Ni5: optimized geometry, PBE.

Calculated values
Crystal system: tetragonal
Calculated volume in Å³/cell: 308.6
Formation energy in meV per atom: -283
D(E_F) in states/eV per cell: 9.6

Geometry as POSCAR:
```
Tm2MgZn2Ni5
1.0
9.239 0.000 0.000
0.000 9.239 0.000
0.000 0.000 3.616
Tm Mg Zn Ni
4 2 4 10
Cartesian
1.652 2.968 0.000
2.968 7.587 0.000
6.271 1.652 0.000
7.587 6.271 0.000
0.000 0.000 0.000
4.619 4.619 0.000
1.083 5.703 0.000
3.536 1.083 0.000
5.703 8.155 0.000
8.155 3.536 0.000
0.000 4.619 1.808
0.595 7.283 1.808
1.956 0.595 1.808
2.663 5.214 1.808
4.024 2.663 1.808
4.619 0.000 1.808
5.214 6.575 1.808
6.575 4.024 1.808
7.283 8.644 1.808
8.644 1.956 1.808
```

Tm2MgZn12Ni3: optimized geometry, PBE.

Calculated values
Crystal system: trigonal
Calculated volume in Å³/cell: 359.1
Formation energy in meV per atom: 197
D(E_F) in states/eV per cell: 8.0

Geometry as POSCAR:
```
Tm2MgZn12Ni3
1.0
4.266 2.463 5.697
-4.266 2.463 5.697
0.000 -4.926 5.697
Tm Mg Zn Ni
2 1 12 3
Cartesian
0.000 0.000 1.581
0.000 0.000 15.510
0.000 0.000 8.545
-2.333 -1.347 8.020
0.000 -2.220 6.128
-1.923 1.110 6.128
-1.923 -1.110 10.963
0.000 -2.694 9.071
-2.333 1.347 9.071
2.333 -1.347 8.020
0.000 2.694 8.020
1.923 1.110 6.128
1.923 -1.110 10.963
0.000 2.220 10.963
2.333 1.347 9.071
-2.133 -1.231 5.697
-2.133 1.231 11.394
0.000 2.463 5.697
```

Mg3UNi8: optimized geometry, PBE.

Calculated values
Crystal system: trigonal
Calculated volume in Å³/cell: 163.1
Formation energy in meV per atom: -248
D(E_F) in states/eV per cell: 10.7

Geometry as POSCAR:
```
Mg3UNi8
1.0
2.434 1.405 7.945
-2.434 1.405 7.945
0.000 -2.811 7.945
Mg U Ni
3 1 8
Cartesian
0.000 0.000 0.000
0.000 0.000 2.853
0.000 0.000 15.106
0.000 0.000 12.000
0.000 -1.391 5.527
-1.204 0.695 5.527
-1.213 -0.700 9.540
0.000 0.000 7.537
1.204 0.695 5.527
1.213 -0.700 9.540
0.000 1.401 9.540
0.000 0.000 19.441
```

MgUNi2: optimized geometry, PBE.

Calculated values
Crystal system: tetragonal
Calculated volume in Å³/cell: 62.2
Formation energy in meV per atom: -124
D(E_F) in states/eV per cell: 4.2

Geometry as POSCAR:
```
MgUNi2
1.0
2.976 0.000 0.000
0.000 2.976 0.000
0.000 0.000 7.021
Mg U Ni
1 1 2
Cartesian
0.000 0.000 0.000
0.000 0.000 3.511
1.488 1.488 1.704
1.488 1.488 5.317
```

MgUNi5: optimized geometry, PBE.

Calculated values
Crystal system: orthorhombic
Calculated volume in Å³/cell: 99.8
Formation energy in meV per atom: -80
D(E_F) in states/eV per cell: 5.5

Geometry as POSCAR:
```
MgUNi5
1.0
2.564 -3.833 0.000
2.564 3.833 0.000
0.000 0.000 5.079
Mg U Ni
1 1 5
Cartesian
0.000 0.000 0.000
2.564 0.000 2.539
0.000 0.000 2.539
1.282 1.917 1.262
1.282 1.917 3.816
1.282 -1.917 1.262
1.282 -1.917 3.816
```

Mg2UNi9: optimized geometry, PBE.

Calculated values
Crystal system: trigonal
Calculated volume in Å³/cell: 158.4
Formation energy in meV per atom: -230
D(E_F) in states/eV per cell: 15.4

Geometry as POSCAR:
```
Mg2UNi9
1.0
2.406 1.389 7.902
-2.406 1.389 7.902
0.000 -2.778 7.902
Mg U Ni
2 1 9
Cartesian
0.000 0.000 3.427
0.000 0.000 20.278
0.000 0.000 0.000
-1.211 -0.699 9.899
0.000 0.000 7.911
0.000 -1.398 13.807
-1.211 0.699 13.807
0.000 0.000 11.853
1.211 -0.699 9.899
0.000 1.398 9.899
0.000 0.000 15.794
1.211 0.699 13.807
```

MgUNi6: optimized geometry, PBE.

Calculated values
Crystal system: orthorhombic
Calculated volume in Å³/cell: 414.8
Formation energy in meV per atom: -236
D(E_F) in states/eV per cell: 10.0

Geometry as POSCAR:
```
MgUNi6
1.0
3.739 -5.266 0.000
3.739 5.266 0.000
0.000 0.000 10.533
Mg U Ni
4 4 24
Cartesian
0.000 0.000 2.566
0.000 0.000 7.968
3.739 2.653 0.000
3.739 -2.653 0.000
3.739 2.684 5.267
3.739 0.000 2.482
3.739 0.000 8.051
3.739 -2.684 5.267
0.000 0.000 0.000
0.000 0.000 5.267
1.887 1.309 3.945
1.887 1.309 6.588
1.890 1.309 1.315
1.890 1.309 9.218
3.739 2.630 2.657
3.739 2.630 7.876
1.887 -1.309 3.945
1.887 -1.309 6.588
1.890 -1.309 1.315
1.890 -1.309 9.218
3.739 0.000 0.000
3.739 0.000 5.267
5.588 1.309 1.315
5.588 1.309 9.218
5.591 1.309 3.945
5.591 1.309 6.588
3.739 -2.630 2.657
3.739 -2.630 7.876
5.588 -1.309 1.315
5.588 -1.309 9.218
5.591 -1.309 3.945
5.591 -1.309 6.588
```

Mg2U2Ni15: optimized geometry, PBE.

Calculated values
Crystal system: trigonal
Calculated volume in Å³/cell: 251.3
Formation energy in meV per atom: -98
D(E_F) in states/eV per cell: 28.3

Geometry as POSCAR:
```
Mg2U2Ni15
1.0
4.164 2.404 4.183
-4.164 2.404 4.183
0.000 -4.808 4.183
Mg U Ni
2 2 15
Cartesian
0.000 0.000 1.631
0.000 0.000 10.918
0.000 0.000 5.020
0.000 0.000 7.529
-2.082 -1.202 4.183
0.000 -2.451 4.107
-2.122 1.225 4.107
-1.348 -2.334 6.275
-2.695 0.000 6.275
-2.122 -1.225 8.442
-2.082 1.202 8.366
1.348 -2.334 6.274
0.000 2.404 4.183
-1.348 2.334 6.274
2.122 1.225 4.107
2.695 0.000 6.274
1.348 2.334 6.274
2.122 -1.225 8.442
0.000 2.451 8.442
```

MgUNi14: optimized geometry, PBE.

Calculated values
Crystal system: tetragonal
Calculated volume in Å³/cell: 189.8
Formation energy in meV per atom: -93
D(E_F) in states/eV per cell: 26.9

Geometry as POSCAR:
```
MgUNi14
1.0
5.149 0.000 0.000
0.000 5.149 0.000
0.000 0.000 7.159
Mg U Ni
1 1 14
Cartesian
0.000 0.000 0.000
2.575 2.575 0.000
0.000 0.000 3.580
0.000 2.575 0.000
0.000 2.575 3.580
1.290 1.290 1.881
1.290 1.290 5.278
1.290 3.859 1.881
1.290 3.859 5.278
2.575 0.000 0.000
2.575 0.000 3.580
2.575 2.575 3.580
3.859 1.290 1.881
3.859 1.290 5.278
3.859 3.859 1.881
3.859 3.859 5.278
```

MgV2Ni9: optimized geometry, PBE.

Calculated values
Crystal system: tetragonal
Calculated volume in Å³/cell: 137.9
Formation energy in meV per atom: -217
D(E_F) in states/eV per cell: 3.5

Geometry as POSCAR:
```
MgV2Ni9
1.0
3.581 0.000 0.000
0.000 3.581 0.000
0.000 0.000 10.757
Mg V Ni
1 2 9
Cartesian
0.000 0.000 0.000
0.000 0.000 3.550
0.000 0.000 7.207
0.000 1.790 1.908
0.000 1.790 5.379
0.000 1.790 8.849
1.790 0.000 1.908
1.790 0.000 5.379
1.790 0.000 8.849
1.790 1.790 0.000
1.790 1.790 3.645
1.790 1.790 7.112
```

MgVNi3: optimized geometry, PBE.

Calculated values
Crystal system: cubic
Calculated volume in Å³/cell: 77.6
Formation energy in meV per atom: 1165
D(E_F) in states/eV per cell: 8.7

Geometry as POSCAR:
```
MgVNi3
1.0
4.265 0.000 0.000
0.000 4.265 0.000
0.000 0.000 4.265
Mg V Ni
1 1 3
Cartesian
0.000 0.000 0.000
2.132 2.132 2.132
0.000 0.000 2.132
0.000 2.132 0.000
2.132 0.000 0.000
```

MgVNi6: optimized geometry, PBE.

Calculated values
Crystal system: orthorhombic
Calculated volume in Å³/cell: 371.3
Formation energy in meV per atom: -196
D(E_F) in states/eV per cell: 34.6

Geometry as POSCAR:
```
MgVNi6
1.0
3.589 -5.079 0.000
3.589 5.079 0.000
0.000 0.000 10.186
Mg V Ni
4 4 24
Cartesian
0.000 0.000 2.547
0.000 0.000 7.639
3.589 2.566 0.000
3.589 -2.566 0.000
3.589 2.539 5.093
3.589 0.000 2.495
3.589 0.000 7.691
3.589 -2.539 5.093
0.000 0.000 0.000
0.000 0.000 5.093
1.831 1.288 3.863
1.831 1.288 6.323
1.848 1.251 1.324
1.848 1.251 8.862
3.589 2.501 2.626
3.589 2.501 7.560
1.848 -1.251 1.324
1.848 -1.251 8.862
1.831 -1.288 3.863
1.831 -1.288 6.323
3.589 0.000 0.000
3.589 0.000 5.093
5.347 1.288 3.863
5.347 1.288 6.323
5.330 1.251 1.324
5.330 1.251 8.862
3.589 -2.501 2.626
3.589 -2.501 7.560
5.330 -1.251 1.324
5.330 -1.251 8.862
5.347 -1.288 3.863
5.347 -1.288 6.323
```

Mg6VNi: optimized geometry, PBE.

Calculated values
Crystal system: orthorhombic
Calculated volume in Å³/cell: 153.4
Formation energy in meV per atom: 175
D(E_F) in states/eV per cell: 6.0

Geometry as POSCAR:
```
Mg6VNi
1.0
4.816 0.000 0.000
0.000 3.004 5.301
0.000 -3.004 5.301
Mg V Ni
6 1 1
Cartesian
0.000 0.000 0.000
0.000 -1.516 7.767
0.000 0.000 5.236
0.000 1.516 7.767
2.408 -1.495 4.239
2.408 1.495 4.239
2.408 0.000 6.877
2.408 0.000 1.593
```

Mg6VNi: optimized geometry, PBE.

Calculated values
Crystal system: orthorhombic
Calculated volume in Å³/cell: 153.7
Formation energy in meV per atom: 174
D(E_F) in states/eV per cell: 5.6

Geometry as POSCAR:
```
Mg6VNi
1.0
4.786 0.000 0.000
0.000 3.063 5.241
0.000 -3.063 5.241
Mg V Ni
6 1 1
Cartesian
0.000 0.000 0.000
0.000 -1.445 2.647
0.000 1.445 2.647
2.393 -1.479 6.023
2.393 1.479 6.023
2.393 0.000 8.684
0.000 0.000 5.160
2.393 0.000 3.669
```

MgVNi14: optimized geometry, PBE.

Calculated values
Crystal system: tetragonal
Calculated volume in Å³/cell: 179.9
Formation energy in meV per atom: -67
D(E_F) in states/eV per cell: 25.5

Geometry as POSCAR:
```
MgVNi14
1.0
5.040 0.000 0.000
0.000 5.040 0.000
0.000 0.000 7.083
Mg V Ni
1 1 14
Cartesian
0.000 0.000 0.000
2.520 2.520 0.000
0.000 0.000 3.542
0.000 2.520 0.000
0.000 2.520 3.542
1.282 1.282 1.808
1.282 1.282 5.275
1.282 3.758 1.808
1.282 3.758 5.275
2.520 0.000 0.000
2.520 0.000 3.542
2.520 2.520 3.542
3.758 1.282 1.808
3.758 1.282 5.275
3.758 3.758 1.808
3.758 3.758 5.275
```

MgV2Ni: optimized geometry, PBE.

Calculated values
Crystal system: tetragonal
Calculated volume in Å³/cell: 120.5
Formation energy in meV per atom: 481
D(E_F) in states/eV per cell: 8.8

Geometry as POSCAR:
```
MgV2Ni
1.0
-3.491 3.491 2.472
3.491 -3.491 2.472
3.491 3.491 -2.472
Mg V Ni
2 4 2
Cartesian
0.000 0.000 0.000
0.000 3.491 1.236
1.746 -1.429 1.854
2.063 1.746 0.618
1.746 4.920 -0.618
1.429 1.746 3.090
3.491 0.000 1.236
0.000 0.000 2.472
```